## TlFeSi2 (PBE)

Data for crystalline TlFeSi2 at its relaxed geometry.

```
8
Lattice="-2.780 2.780 6.457 2.780 -2.780 6.457 2.780 2.780 -6.457" Properties=species:S:1:pos:R:3 pbc="T T T"
Tl 2.780 1.390 1.614
Tl 0.000 1.390 4.842
Fe 2.780 -1.390 4.842
Fe 0.000 4.170 1.614
Si 0.000 0.000 0.000
Si 1.390 1.390 -3.228
Si 1.390 -1.390 3.228
Si 0.000 2.780 0.000
```

Summary:
VASP energy, eV per cell: -40.080
Energy above the lowest structure with this stoichiometry, meV per atom: 277
Formation energy (no corrections), meV/atom: 408.8
Crystal system: tetragonal
Space-group type: No. 141
DOS at the Fermi energy, states/eV per atom: 0.68

---

## SrLi2ZnHg4 (PBE)

Data for crystalline SrLi2ZnHg4 at its relaxed geometry.

```
8
Lattice="2.356 1.360 9.611 -2.356 1.360 9.611 0.000 -2.720 9.611" Properties=species:S:1:pos:R:3 pbc="T T T"
Sr 0.000 0.000 0.000
Li 0.000 0.000 6.610
Li 0.000 0.000 22.223
Zn 0.000 0.000 14.416
Hg 0.000 0.000 3.723
Hg 0.000 0.000 11.523
Hg 0.000 0.000 17.310
Hg 0.000 0.000 25.109
```

Summary:
VASP energy, eV per cell: -10.477
Crystal system: trigonal
Space-group type: No. 166
DOS at the Fermi energy, states/eV per atom: 0.38

---

## Y2PaNi9 (PBE)

Data for crystalline Y2PaNi9 at its relaxed geometry.

```
12
Lattice="2.469 1.425 8.186 -2.469 1.425 8.186 0.000 -2.851 8.186" Properties=species:S:1:pos:R:3 pbc="T T T"
Y 0.000 0.000 3.421
Y 0.000 0.000 21.137
Pa 0.000 0.000 0.000
Ni -1.236 -0.714 10.194
Ni 0.000 0.000 8.186
Ni 0.000 -1.428 14.364
Ni -1.236 0.714 14.364
Ni 0.000 0.000 12.279
Ni 1.236 -0.714 10.194
Ni 0.000 1.428 10.194
Ni 0.000 0.000 16.372
Ni 1.236 0.714 14.364
```

Summary:
VASP energy, eV per cell: -79.362
Crystal system: trigonal
Space-group type: No. 166
DOS at the Fermi energy, states/eV per atom: 1.02

---

## Cs3Sm3YSe8 (PBE)

Data for crystalline Cs3Sm3YSe8 at its relaxed geometry.

```
15
Lattice="7.396 -4.267 0.000 7.396 4.267 0.000 -4.941 0.000 8.568" Properties=species:S:1:pos:R:3 pbc="T T T"
Cs 0.000 0.000 0.000
Cs 3.698 2.133 0.000
Cs 3.698 -2.133 0.000
Sm 1.228 2.133 4.284
Sm 1.228 -2.133 4.284
Sm 4.926 0.000 4.284
Y -2.470 0.000 4.284
Se -0.038 0.000 5.868
Se 3.710 2.163 5.868
Se 6.142 2.163 2.700
Se 2.461 0.000 2.666
Se 7.391 0.000 5.901
Se 3.710 -2.163 5.868
Se 6.142 -2.163 2.700
Se 9.890 0.000 2.700
```

Summary:
VASP energy, eV per cell: -76.042
Formation energy (no corrections), meV/atom: -1665.5
Crystal system: monoclinic
Space-group type: No. 12
DOS at the Fermi energy, states/eV per atom: 0.75

---

## KTb2CuCl8 (PBE)

Data for crystalline KTb2CuCl8 at its relaxed geometry.

```
12
Lattice="7.009 0.000 0.000 3.418 7.228 0.000 0.250 1.309 8.045" Properties=species:S:1:pos:R:3 pbc="T T T"
K 0.000 0.000 0.000
Tb 1.928 3.760 2.071
Tb 8.748 4.777 5.974
Cu 0.125 0.655 4.022
Cl 3.876 6.510 5.619
Cl 2.567 2.086 0.010
Cl 2.765 2.820 4.458
Cl 4.166 4.916 1.822
Cl 6.510 3.622 6.223
Cl 7.910 5.718 3.587
Cl 8.109 6.452 8.035
Cl 6.800 2.027 2.426
```

Summary:
VASP energy, eV per cell: -51.930
Formation energy (no corrections), meV/atom: -1891.9
Crystal system: triclinic
Space-group type: No. 2
DOS at the Fermi energy, states/eV per atom: 0.00